Record 1
# Pm5Sm2HoSc PBE optimized geometry
data_Pm5Sm2HoSc
_space_group_name_H-M_alt 'C m c 21'
_space_group_IT_number 36
_cell_length_a 5.388
_cell_length_b 21.987
_cell_length_c 10.184
_cell_angle_alpha 90.00
_cell_angle_beta 90.00
_cell_angle_gamma 90.00
loop_
_space_group_symop_operation_xyz
'x,y,z'
'-x,-y,z+1/2'
'-x,y,z'
'x,-y,z+1/2'
'x+1/2,y+1/2,z'
'-x+1/2,-y+1/2,z+1/2'
'-x+1/2,y+1/2,z'
'x+1/2,-y+1/2,z+1/2'
loop_
_atom_site_label
_atom_site_type_symbol
_atom_site_fract_x
_atom_site_fract_y
_atom_site_fract_z
Pm1 Pm 0.000 0.000 0.000
Pm2 Pm 0.000 0.127 0.250
Pm3 Pm 0.000 0.222 0.563
Pm4 Pm 0.000 0.222 0.938
Pm5 Pm 0.000 0.499 0.750
Sm1 Sm 0.000 0.384 0.501
Sm2 Sm 0.000 0.384 0.999
Ho1 Ho 0.000 0.102 0.750
Sc1 Sc 0.000 0.287 0.251
# DFT formation energy   0.12 eV/atom
# Total DFT energy (no corrections)   -4.78 eV per atom



Record 2
# Pm2SmHo5Sc PBE optimized geometry
data_Pm2SmHo5Sc
_space_group_name_H-M_alt 'C m c 21'
_space_group_IT_number 36
_cell_length_a 5.570
_cell_length_b 19.748
_cell_length_c 10.419
_cell_angle_alpha 90.00
_cell_angle_beta 90.00
_cell_angle_gamma 90.00
loop_
_space_group_symop_operation_xyz
'x,y,z'
'-x,-y,z+1/2'
'-x,y,z'
'x,-y,z+1/2'
'x+1/2,y+1/2,z'
'-x+1/2,-y+1/2,z+1/2'
'-x+1/2,y+1/2,z'
'x+1/2,-y+1/2,z+1/2'
loop_
_atom_site_label
_atom_site_type_symbol
_atom_site_fract_x
_atom_site_fract_y
_atom_site_fract_z
Pm1 Pm 0.000 0.112 0.000
Pm2 Pm 0.000 0.115 0.419
Sm1 Sm 0.000 0.412 0.142
Ho1 Ho 0.000 0.018 0.704
Ho2 Ho 0.000 0.277 0.007
Ho3 Ho 0.000 0.298 0.389
Ho4 Ho 0.000 0.376 0.704
Ho5 Ho 0.000 0.482 0.425
Sc1 Sc 0.000 0.196 0.700
# DFT formation energy   0.16 eV/atom
# Total DFT energy (no corrections)   -4.67 eV per atom



Record 3
# PmSmHoSc PBE optimized geometry
data_PmSmHoSc
_space_group_name_H-M_alt 'F -4 3 m'
_space_group_IT_number 216
_space_group_name_Hall 'F -4 2 3'
_cell_length_a 7.908
_cell_length_b 7.908
_cell_length_c 7.908
_cell_angle_alpha 90.00
_cell_angle_beta 90.00
_cell_angle_gamma 90.00
loop_
_atom_site_label
_atom_site_type_symbol
_atom_site_fract_x
_atom_site_fract_y
_atom_site_fract_z
Pm1 Pm 0.000 0.000 0.000
Sm1 Sm 0.000 0.000 0.500
Ho1 Ho 0.250 0.250 0.250
Sc1 Sc 0.250 0.250 0.750
# DFT formation energy   0.11 eV/atom
# Total DFT energy (no corrections)   -4.99 eV per atom
# Offset from the most stable computed form   7.9 meV/atom



Record 4
# PmHoScSn PBE optimized geometry
data_PmHoScSn
_space_group_name_H-M_alt 'F -4 3 m'
_space_group_IT_number 216
_space_group_name_Hall 'F -4 2 3'
_cell_length_a 7.510
_cell_length_b 7.510
_cell_length_c 7.510
_cell_angle_alpha 90.00
_cell_angle_beta 90.00
_cell_angle_gamma 90.00
loop_
_atom_site_label
_atom_site_type_symbol
_atom_site_fract_x
_atom_site_fract_y
_atom_site_fract_z
Pm1 Pm 0.000 0.000 0.000
Ho1 Ho 0.250 0.250 0.250
Sc1 Sc 0.250 0.250 0.750
Sn1 Sn 0.000 0.000 0.500
# DFT formation energy   -0.21 eV/atom
# Total DFT energy (no corrections)   -5.13 eV per atom